# RbWSe3 PBE-GGA optimized geometry
# - Energy above the lowest structure with this stoichiometry: 0 meV per atom
# - N(E_F): 2.69 states/eV/f.u.
# - Crystal system: monoclinic
# - Space group: P2_1/c (14)
# - Raw total energy: -5.343 eV/atom
data_RbWSe3
_chemical_formula_sum 'Rb4 W4 Se12'
_cell_length_a 9.372
_cell_length_b 6.630
_cell_length_c 9.350
_cell_angle_alpha 90.00
_cell_angle_beta 98.56
_cell_angle_gamma 90.00
_symmetry_space_group_name_H-M 'P 1'
_symmetry_Int_Tables_number 1
loop_
_symmetry_equiv_pos_as_xyz
'x,y,z'
loop_
_atom_site_label
_atom_site_type_symbol
_atom_site_fract_x
_atom_site_fract_y
_atom_site_fract_z
_atom_site_occupancy
Rb1 Rb 0.124 0.162 0.205 1
Rb2 Rb 0.124 0.338 0.705 1
Rb3 Rb 0.876 0.662 0.295 1
Rb4 Rb 0.876 0.838 0.795 1
W1 W 0.418 0.739 0.593 1
W2 W 0.418 0.761 0.093 1
W3 W 0.582 0.239 0.907 1
W4 W 0.582 0.261 0.407 1
Se1 Se 0.167 0.677 0.071 1
Se2 Se 0.167 0.823 0.571 1
Se3 Se 0.344 0.074 0.949 1
Se4 Se 0.344 0.426 0.449 1
Se5 Se 0.461 0.584 0.843 1
Se6 Se 0.461 0.916 0.343 1
Se7 Se 0.539 0.084 0.657 1
Se8 Se 0.539 0.416 0.157 1
Se9 Se 0.656 0.574 0.551 1
Se10 Se 0.656 0.926 0.051 1
Se11 Se 0.833 0.177 0.429 1
Se12 Se 0.833 0.323 0.929 1